Density functional theory data (PBE-GGA) for a geometry-optimized LaMn2Ga2 structure.

Geometry as extended XYZ:
```
10
Lattice="7.8738 0.0000 0.0000 0.0000 7.8738 0.0000 0.0000 0.0000 2.8817" Properties=species:S:1:pos:R:3 pbc="T T T"
La 0.0000 0.0000 0.0000
La 3.9369 3.9369 0.0000
Mn 0.9460 2.9909 0.0000
Mn 2.9909 6.9278 0.0000
Mn 4.8829 0.9460 0.0000
Mn 6.9278 4.8829 0.0000
Ga 1.3143 5.2513 1.4408
Ga 2.6226 1.3143 1.4408
Ga 5.2513 6.5595 1.4408
Ga 6.5595 2.6226 1.4408
```

Values from the calculation:
- Energy of formation: -0.046 eV per atom
- E_tot: -59.101 eV per cell